1.
PBE-GGA ZnIn2As, optimized geometry; ΔH_f (0 K) = 0.132 eV per atom
1.0
6.7049 0.0000 0.0000
0.0000 6.7049 0.0000
3.3525 3.3525 5.3326
As In Zn
2 4 2
Direct
0.0000 0.0000 0.0000 As
0.7500 0.2500 0.5000 As
0.1185 0.6250 0.2500 In
0.6315 0.1250 0.2500 In
0.3750 0.3685 0.7500 In
0.8750 0.8815 0.7500 In
0.2500 0.7500 0.5000 Zn
0.5000 0.5000 0.0000 Zn

2.
PBE-GGA Pr2SmPaN4, optimized geometry; ΔE_f (raw) = -1.504 eV/atom
1.0
-3.4901 -0.8802 -0.2932
1.5369 -6.0140 -0.2406
-0.9179 1.6459 5.9856
N Sm Pa Pr
4 1 1 2
Direct
0.5000 0.7760 0.7824 N
0.5000 0.2240 0.2176 N
0.0000 0.2364 0.7754 N
0.0000 0.7636 0.2246 N
0.5000 0.5000 0.0000 Sm
0.0000 0.0000 0.0000 Pa
0.5000 0.0000 0.5000 Pr
0.0000 0.5000 0.5000 Pr

3.
PBE-GGA SmNpN2, optimized geometry; ΔE_f (raw) = -1.059 eV/atom
1.0
-3.2596 0.4579 0.9021
-2.4440 -1.9320 -1.3939
-1.2293 -4.5962 4.3475
Np Sm N
1 1 2
Direct
0.4991 0.4991 0.5027 Np
0.6708 0.6708 0.9876 Sm
0.2453 0.2453 0.2640 N
0.0848 0.0848 0.7457 N

4.
PBE-GGA PbBr2, optimized geometry; ΔE_f (raw) = -0.785 eV/atom
1.0
1.9333 7.3525 -0.0649
-1.9333 7.3525 -0.0649
0.0000 2.0739 7.4288
Br Pb
4 2
Direct
0.1296 0.1296 0.4301 Br
0.1294 0.1294 0.9400 Br
0.8706 0.8706 0.0600 Br
0.8704 0.8704 0.5699 Br
0.5369 0.5369 0.2318 Pb
0.4631 0.4631 0.7682 Pb

5.
PBE-GGA CePm2Ir2, optimized geometry; ΔH_f (0 K) = -0.523 eV per atom
1.0
4.3768 0.0000 0.0000
0.0000 7.0417 0.0000
-2.1884 0.0000 8.5256
Ir Ce Pm
4 2 4
Direct
0.1866 0.0387 0.3733 Ir
0.5510 0.5659 0.1019 Ir
0.4490 0.0659 0.8981 Ir
0.8134 0.5387 0.6267 Ir
0.3916 0.4144 0.7831 Ce
0.6084 0.9144 0.2169 Ce
0.0397 0.2632 0.0793 Pm
0.9603 0.7632 0.9207 Pm
0.1990 0.5834 0.3980 Pm
0.8010 0.0834 0.6020 Pm

6.
PBE-GGA MnInPd3, optimized geometry; ΔH_f (0 K) = 0.681 eV per atom
1.0
4.6011 0.0000 0.0000
0.0000 4.6011 0.0000
0.0000 0.0000 4.6011
Pd In Mn
3 1 1
Direct
0.0000 0.0000 0.5000 Pd
0.0000 0.5000 0.0000 Pd
0.5000 0.0000 0.0000 Pd
0.5000 0.5000 0.5000 In
0.0000 0.0000 0.0000 Mn

7.
PBE-GGA SmDy2S, optimized geometry; ΔE_f (raw) = -0.946 eV/atom
1.0
3.7415 0.0000 0.0000
1.8708 3.2403 0.0000
1.8708 1.0801 9.2988
Dy S Sm
2 1 1
Direct
0.0602 0.0602 0.8194 Dy
0.2733 0.2733 0.1801 Dy
0.6667 0.6667 0.9998 S
0.4997 0.4997 0.5008 Sm

8.
PBE-GGA PuBi7Pd4, optimized geometry; ΔH_f (0 K) = -0.087 eV per atom
1.0
5.7970 0.0000 0.0000
2.8985 8.2077 -0.0244
2.8985 0.3693 6.6968
Pd Bi Pu
4 7 1
Direct
0.7376 0.7040 0.8209 Pd
0.2624 0.2960 0.1791 Pd
0.4771 0.2952 0.7505 Pd
0.5229 0.7048 0.2495 Pd
0.5000 0.0000 0.0000 Bi
0.8975 0.3751 0.8300 Bi
0.8002 0.9101 0.4895 Bi
0.3384 0.6408 0.6824 Bi
0.6616 0.3592 0.3176 Bi
0.1998 0.0899 0.5105 Bi
0.1025 0.6249 0.1700 Bi
0.0000 0.0000 0.0000 Pu